# 1
Computed, not measured: Rb4Ac3PmS8 after structural relaxation at the PBE level of DFT.

abc: 8.7947 9.2518 8.7946
angles: 118.39 120.00 90.00
Atoms (fractional coordinates):
Rb  0.5000  0.0000  0.0000
Rb  0.5000  0.0000  0.5000
Rb  0.0000  0.0000  0.0000
Rb  0.0000  0.0000  0.5000
Ac  0.5000  0.5000  0.0000
Ac  0.5000  0.5000  0.5000
Ac  0.0000  0.5000  0.5000
Pm  0.0000  0.5000  0.0000
S  0.2275  0.6997  0.9723
S  0.2275  0.6997  0.4550
S  0.2649  0.2949  0.5299
S  0.7448  0.6997  0.9723
S  0.2552  0.3003  0.0277
S  0.7351  0.7051  0.4701
S  0.7725  0.3003  0.5450
S  0.7725  0.3003  0.0277

Properties
spin magnetization = 0.00 μB per cell
formation energy (no corrections) = -1.86 eV per atom
DOS at the Fermi energy = 0.00 states/eV/atom
DFT total energy = -83.7 eV for the cell shown



# 2
Computed, not measured: Rb3Ac2PmSe6 after structural relaxation at the PBE level of DFT.

abc: 7.8376 7.8376 8.4557
angles: 98.90 98.90 119.99
Atoms (fractional coordinates):
Rb  0.1675  0.8325  0.5000
Rb  0.8325  0.1675  0.5000
Rb  0.5000  0.5000  0.5000
Ac  0.3335  0.6665  0.0000
Ac  0.6665  0.3335  0.0000
Pm  0.0000  0.0000  0.0000
Se  0.9318  0.6109  0.7954
Se  0.7475  0.7475  0.2045
Se  0.0682  0.3891  0.2046
Se  0.6109  0.9318  0.7954
Se  0.2525  0.2525  0.7955
Se  0.3891  0.0682  0.2046

Properties
spin magnetization = 0.00 μB per cell
formation energy (no corrections) = -1.78 eV per atom
DOS at the Fermi energy = 0.00 states/eV/atom
DFT total energy = -58.1 eV for the cell shown



# 3
Computed, not measured: Rb2AcPmSe4 after structural relaxation at the PBE level of DFT.

abc: 4.4798 7.7680 8.4413
angles: 107.79 90.00 90.00
Atoms (fractional coordinates):
Rb  0.5000  0.0000  0.5000
Rb  0.0000  0.5000  0.5000
Ac  0.0000  0.0000  0.0000
Pm  0.5000  0.5000  0.0000
Se  0.5000  0.2472  0.2058
Se  0.5000  0.7528  0.7942
Se  0.0000  0.2773  0.7993
Se  0.0000  0.7227  0.2007

Properties
spin magnetization = 0.00 μB per cell
formation energy (no corrections) = -1.76 eV per atom
DOS at the Fermi energy = 0.00 states/eV/atom
DFT total energy = -38.8 eV for the cell shown



# 4
Computed, not measured: Rb3AcPm2Se6 after structural relaxation at the PBE level of DFT.

abc: 7.6846 7.6846 8.4374
angles: 98.74 98.74 120.00
Atoms (fractional coordinates):
Rb  0.1653  0.8347  0.5000
Rb  0.8347  0.1653  0.5000
Rb  0.5000  0.5000  0.5000
Ac  0.0000  0.0000  0.0000
Pm  0.3332  0.6668  0.0000
Pm  0.6668  0.3332  0.0000
Se  0.9325  0.5867  0.7979
Se  0.7215  0.7215  0.2019
Se  0.0675  0.4133  0.2021
Se  0.5867  0.9325  0.7979
Se  0.2785  0.2785  0.7981
Se  0.4133  0.0675  0.2021

Properties
spin magnetization = 0.00 μB per cell
formation energy (no corrections) = -1.76 eV per atom
DOS at the Fermi energy = 0.00 states/eV/atom
DFT total energy = -58.5 eV for the cell shown



# 5
Computed, not measured: Rb4Ac3PmTe8 after structural relaxation at the PBE level of DFT.

abc: 9.6310 10.2403 9.6311
angles: 118.07 120.00 90.00
Atoms (fractional coordinates):
Rb  0.5000  0.0000  0.0000
Rb  0.5000  0.0000  0.5000
Rb  0.0000  0.0000  0.0000
Rb  0.0000  0.0000  0.5000
Ac  0.5000  0.5000  0.0000
Ac  0.5000  0.5000  0.5000
Ac  0.0000  0.5000  0.5000
Pm  0.0000  0.5000  0.0000
Te  0.2305  0.7086  0.9782
Te  0.2306  0.7086  0.4612
Te  0.2616  0.2850  0.5232
Te  0.7477  0.7086  0.9782
Te  0.2523  0.2914  0.0218
Te  0.7384  0.7150  0.4768
Te  0.7694  0.2914  0.5388
Te  0.7695  0.2914  0.0218

Properties
spin magnetization = 0.00 μB per cell
formation energy (no corrections) = -1.47 eV per atom
DOS at the Fermi energy = 0.00 states/eV/atom
DFT total energy = -69.6 eV for the cell shown



# 6
Computed, not measured: RbAc2PmTe4 after structural relaxation at the PBE level of DFT.

abc: 4.6896 8.1510 8.3426
angles: 71.22 90.00 90.00
Atoms (fractional coordinates):
Rb  0.5000  0.5000  0.0000
Ac  0.0000  0.0000  0.0000
Ac  0.5000  0.0000  0.5000
Pm  0.0000  0.5000  0.5000
Te  0.0000  0.7543  0.7344
Te  0.0000  0.2457  0.2656
Te  0.5000  0.7424  0.2637
Te  0.5000  0.2576  0.7363

Properties
spin magnetization = 0.00 μB per cell
formation energy (no corrections) = -1.40 eV per atom
DOS at the Fermi energy = 0.39 states/eV/atom
DFT total energy = -37.7 eV for the cell shown



# 7
Computed, not measured: Rb2AcPmTe4 after structural relaxation at the PBE level of DFT.

abc: 4.7513 8.2381 9.0112
angles: 107.66 90.00 90.00
Atoms (fractional coordinates):
Rb  0.5000  0.0000  0.5000
Rb  0.0000  0.5000  0.5000
Ac  0.0000  0.0000  0.0000
Pm  0.5000  0.5000  0.0000
Te  0.5000  0.2486  0.2108
Te  0.5000  0.7514  0.7892
Te  0.0000  0.2760  0.7950
Te  0.0000  0.7240  0.2050

Properties
spin magnetization = 0.00 μB per cell
formation energy (no corrections) = -1.44 eV per atom
DOS at the Fermi energy = 0.00 states/eV/atom
DFT total energy = -34.9 eV for the cell shown



# 8
Computed, not measured: Ac2Pm2Rh after structural relaxation at the PBE level of DFT.

abc: 7.9406 7.4745 8.4311
angles: 72.66 55.86 57.91
Atoms (fractional coordinates):
Ac  0.5535  0.4480  0.7548
Ac  0.4465  0.5520  0.2452
Ac  0.0015  0.5520  0.7548
Ac  0.9985  0.4480  0.2452
Pm  0.8494  0.0000  0.3833
Pm  0.6350  0.0000  0.1144
Pm  0.3650  0.0000  0.8856
Pm  0.1506  0.0000  0.6167
Rh  0.1150  0.7699  0.0000
Rh  0.8850  0.2301  0.0000

Properties
spin magnetization = 0.00 μB per cell
DOS at the Fermi energy = 1.24 states/eV/atom
DFT total energy = -52.7 eV for the cell shown



# 9
Computed, not measured: AcPmRh after structural relaxation at the PBE level of DFT.

abc: 6.6064 4.2363 4.2363
angles: 120.00 90.00 90.00
Atoms (fractional coordinates):
Ac  0.7608  0.6667  0.3333
Rh  0.0095  0.0000  0.0000
Pm  0.2297  0.3333  0.6667

Properties
spin magnetization = 0.00 μB per cell
energy above the lowest structure with this stoichiometry = 14 meV/atom
DOS at the Fermi energy = 0.97 states/eV/atom
DFT total energy = -17.7 eV for the cell shown



# 10
Computed, not measured: Ac3PmRh after structural relaxation at the PBE level of DFT.

abc: 5.8516 5.8516 5.8516
angles: 90.00 90.00 90.00
Atoms (fractional coordinates):
Ac  0.0000  0.5000  0.0000
Ac  0.0000  0.0000  0.5000
Ac  0.5000  0.0000  0.0000
Rh  0.0000  0.0000  0.0000
Pm  0.5000  0.5000  0.5000

Properties
spin magnetization = 1.30 μB per cell
energy above the lowest structure with this stoichiometry = 77 meV/atom
DOS at the Fermi energy = 1.66 states/eV/atom
DFT total energy = -25.3 eV for the cell shown



# 11
Computed, not measured: Ac5PmRh4 after structural relaxation at the PBE level of DFT.

abc: 4.3173 8.3491 9.4512
angles: 104.42 103.20 90.00
Atoms (fractional coordinates):
Ac  0.8370  0.6676  0.6739
Ac  0.8350  0.1495  0.6700
Ac  0.1650  0.8505  0.3300
Ac  0.5000  0.5000  0.0000
Ac  0.1630  0.3324  0.3261
Pm  0.5000  0.0000  0.0000
Rh  0.3290  0.8947  0.6580
Rh  0.0005  0.7451  0.0010
Rh  0.6710  0.1053  0.3420
Rh  0.9995  0.2549  0.9990

Properties
spin magnetization = 0.00 μB per cell
DOS at the Fermi energy = 0.62 states/eV/atom
DFT total energy = -60.7 eV for the cell shown



# 12
Computed, not measured: AcPm4Rh after structural relaxation at the PBE level of DFT.

abc: 5.7778 7.8099 9.8697
angles: 90.00 107.02 90.00
Atoms (fractional coordinates):
Ac  0.8881  0.7804  0.7763
Ac  0.1119  0.2804  0.2237
Pm  0.8817  0.2805  0.7633
Pm  0.1183  0.7805  0.2367
Pm  0.5000  0.0306  0.9999
Pm  0.5000  0.5306  0.0001
Pm  0.7040  0.5307  0.4079
Pm  0.2960  0.0307  0.5921
Pm  0.7040  0.0305  0.4081
Pm  0.2960  0.5305  0.5919
Rh  0.6009  0.7807  0.2017
Rh  0.3991  0.2807  0.7983

Properties
spin magnetization = 0.00 μB per cell
DOS at the Fermi energy = 1.18 states/eV/atom
DFT total energy = -63.0 eV for the cell shown